Material: Sr12Zn6In
Method: DFT, PBE-GGA
State: relaxed

SG: Im-3
Final energy in eV per atom: -1.76
Magnetization in μB/f.u.: 0.01
DFT formation energy in eV/atom: -0.155

Cell lengths 9.7457, 9.7457, 9.7457 Å; angles 109.47, 109.47, 109.47 degrees
Atoms (fractional coordinates):
Sr 0.1844 0.7078 0.8921
Sr 0.7078 0.5234 0.8156
Sr 0.8156 0.7078 0.5234
Sr 0.2922 0.1079 0.8156
Sr 0.1079 0.8156 0.2922
Sr 0.8921 0.1844 0.7078
Sr 0.8156 0.2922 0.1079
Sr 0.7078 0.8921 0.1844
Sr 0.4766 0.1844 0.2922
Sr 0.5234 0.8156 0.7078
Sr 0.2922 0.4766 0.1844
Sr 0.1844 0.2922 0.4766
Zn 0.6166 0.5000 0.1166
Zn 0.5000 0.8834 0.3834
Zn 0.5000 0.1166 0.6166
Zn 0.3834 0.5000 0.8834
Zn 0.1166 0.6166 0.5000
Zn 0.8834 0.3834 0.5000
In 0.0000 0.0000 0.0000